Entry from Alexandria via LeMat-Bulk: an optimized crystal structure of La2TlPd6 (PBE-GGA).

Cell lengths 10.0917, 5.8241, 6.4262 Å; angles 90.00, 90.00, 90.00 degrees
With the nearest neighbours (Å) after each atom.
Space group C2/m (No. 12)
Asymmetric unit:
La  0.1677  0.0000  0.2809 [4 per cell]  9 Pd 3.00-3.33
Tl  0.0000  0.5000  0.5000 [2 per cell]  6 Pd 2.74
Pd  0.0860  0.2391  0.8286 [8 per cell]  1 Tl 2.74, 6 Pd 2.79-3.04, 2 La 3.00
Pd  0.1744  0.5000  0.1723 [4 per cell]  1 Tl 2.74, 6 Pd 2.79-3.04, 2 La 3.00

Calculated values
Spin magnetization ... 0.000 μB per cell
V ... 377.7 Å³/cell
Calculated total energy ... -98.91 eV/cell
D(E_F) ... 3.34 states/eV/cell
Polymorph energy (0 for the lowest one) ... 0.000 eV/atom

***

Entry from Alexandria via LeMat-Bulk: an optimized crystal structure of Pr4Sm5Ho2 (PBE-GGA).

Cell lengths 3.5366, 9.4707, 23.2551 Å; angles 90.00, 90.00, 90.00 degrees
With the nearest neighbours (Å) after each atom.
Space group Immm (No. 71)
Asymmetric unit:
Pr  0.0000  0.0000  0.0959 [4 per cell]  1 Ho 3.12, 4 Pr 3.45
Pr  0.0000  0.2940  0.5000 [4 per cell]  4 Sm 3.30-3.62, 6 Pr 3.45-3.54
Sm  0.0000  0.2039  0.3489 [8 per cell]  1 Ho 3.37, 2 Sm 3.54, 3 Pr 3.56-3.62
Sm  0.0000  0.5000  0.0000 [2 per cell]  4 Pr 3.30, 2 Sm 3.54
Ho  0.0000  0.0000  0.2300 [4 per cell]  1 Pr 3.12, 2 Sm 3.37

Calculated values
Spin magnetization ... 0.000 μB per cell
V ... 778.9 Å³/cell
Calculated total energy ... -98.16 eV/cell
D(E_F) ... 31.42 states/eV/cell
Polymorph energy (0 for the lowest one) ... 0.155 eV/atom

***

Entry from Alexandria via LeMat-Bulk: an optimized crystal structure of TiReTcMo2 (PBE-GGA).

Cell lengths 2.9896, 12.3073, 8.8834 Å; angles 90.00, 90.00, 90.00 degrees
With the nearest neighbours (Å) after each atom.
Space group Cmcm (No. 63)
Asymmetric unit:
Ti  0.0000  0.0134  0.2500 [4 per cell]  4 Tc 2.68, 2 Re 2.72, 2 Ti 2.99
Re  0.0000  0.3292  0.2500 [4 per cell]  2 Ti 2.72, 6 Mo 2.72-2.96, 2 Re 2.99
Tc  0.0000  0.5000  0.0000 [4 per cell]  2 Mo 2.45, 4 Ti 2.68
Mo  0.0000  0.3096  0.5820 [8 per cell]  1 Tc 2.45, 2 Mo 2.55, 2 Re 2.72

Calculated values
Spin magnetization ... 0.000 μB per cell
V ... 326.9 Å³/cell
Calculated total energy ... -202.85 eV/cell
D(E_F) ... 16.97 states/eV/cell

***

Entry from Alexandria via LeMat-Bulk: an optimized crystal structure of Dy8TcHg2 (PBE-GGA).

Cell lengths 5.0497, 8.3925, 14.1333 Å; angles 90.00, 90.00, 90.00 degrees
With the nearest neighbours (Å) after each atom.
Space group Immm (No. 71)
Asymmetric unit:
Dy  0.0000  0.0000  0.1211 [4 per cell]  2 Tc 3.05, 6 Dy 3.26-3.41
Dy  0.0000  0.2312  0.3504 [8 per cell]  1 Tc 3.09, 3 Hg 3.10-3.26, 4 Dy 3.33-3.41
Dy  0.0000  0.3305  0.0000 [4 per cell]  1 Dy 2.85, 2 Hg 3.16
Tc  0.0000  0.5000  0.5000 [2 per cell]  8 Dy 3.05-3.09
Hg  0.0000  0.5000  0.1996 [4 per cell]  8 Dy 3.10-3.26

Calculated values
Spin magnetization ... 0.000 μB per cell
V ... 599.0 Å³/cell
Calculated total energy ... -97.57 eV/cell
D(E_F) ... 15.50 states/eV/cell
Polymorph energy (0 for the lowest one) ... 0.114 eV/atom

***

Entry from Alexandria via LeMat-Bulk: an optimized crystal structure of LaTcBr2 (PBE-GGA).

Cell lengths 3.6033, 6.3361, 9.3601 Å; angles 90.00, 90.00, 90.00 degrees
With the nearest neighbours (Å) after each atom.
Space group Cmmm (No. 65)
Asymmetric unit:
La  0.0000  0.0000  0.0000 [2 per cell]  4 Br 3.08
Tc  0.0000  0.0000  0.5000 [2 per cell]  4 Br 2.83
Br  0.0000  0.5000  0.2675 [4 per cell]  2 Tc 2.83, 2 La 3.08

Calculated values
Spin magnetization ... 7.114 μB per cell
V ... 213.7 Å³/cell
Calculated total energy ... -36.62 eV/cell
D(E_F) ... 4.63 states/eV/cell
Polymorph energy (0 for the lowest one) ... 0.643 eV/atom

***

Entry from Alexandria via LeMat-Bulk: an optimized crystal structure of ScCr2In (PBE-GGA).

Cell lengths 3.3095, 4.6172, 9.0056 Å; angles 90.00, 90.00, 90.00 degrees
With the nearest neighbours (Å) after each atom.
Space group Imm2 (No. 44)
Asymmetric unit:
Sc  0.0000  0.0000  0.0000 [2 per cell]  8 Cr 2.87-3.11, 4 In 3.01-3.05
Cr  0.0000  0.0000  0.4532 [2 per cell]  2 Cr 2.35
Cr  0.0000  0.5000  0.7678 [2 per cell]  2 Cr 2.35
In  0.0000  0.5000  0.2207 [2 per cell]  8 Cr 2.87-3.12, 4 Sc 3.01-3.05

Calculated values
Spin magnetization ... 0.406 μB per cell
V ... 137.6 Å³/cell
Calculated total energy ... -55.35 eV/cell
D(E_F) ... 7.08 states/eV/cell

***

Entry from Alexandria via LeMat-Bulk: an optimized crystal structure of AlSi2Ni (PBE-GGA).

Cell lengths 3.9796, 3.9796, 15.4788 Å; angles 90.00, 90.00, 90.00 degrees
With the nearest neighbours (Å) after each atom.
Space group I-42d (No. 122)
Asymmetric unit:
Al  0.0000  0.0000  0.0000 [4 per cell]  4 Si 2.50
Si  0.1904  0.2500  0.6250 [8 per cell]  2 Ni 2.30, 2 Al 2.50, 2 Si 2.50
Ni  0.0000  0.0000  0.5000 [4 per cell]  4 Si 2.30

Calculated values
Spin magnetization ... 0.000 μB per cell
V ... 245.1 Å³/cell
Calculated total energy ... -82.09 eV/cell
D(E_F) ... 7.38 states/eV/cell

***

Entry from Alexandria via LeMat-Bulk: an optimized crystal structure of CaLa2Zn2 (PBE-GGA).

Cell lengths 8.7451, 8.7451, 3.8333 Å; angles 90.00, 90.00, 90.00 degrees
With the nearest neighbours (Å) after each atom.
Space group P4/mbm (No. 127)
Asymmetric unit:
Ca  0.0000  0.0000  0.0000 [2 per cell]  4 Zn 3.42, 8 La 3.80
La  0.1622  0.3378  0.5000 [4 per cell]  6 Zn 3.19-3.22
Zn  0.1314  0.6314  0.0000 [4 per cell]  6 La 3.19-3.22, 1 Zn 3.25, 2 Ca 3.42

Calculated values
Spin magnetization ... 0.000 μB per cell
V ... 293.2 Å³/cell
Calculated total energy ... -30.89 eV/cell
D(E_F) ... 13.75 states/eV/cell
Polymorph energy (0 for the lowest one) ... 0.000 eV/atom

***

Entry from Alexandria via LeMat-Bulk: an optimized crystal structure of MgOs (PBE-GGA).

Cell lengths 2.9143, 3.6080, 6.1854 Å; angles 90.00, 90.08, 90.00 degrees
With the nearest neighbours (Å) after each atom.
Space group P2_1/m (No. 11)
Asymmetric unit:
Mg  0.2504  0.2500  0.1425 [2 per cell]  5 Os 2.81-2.83, 6 Mg 2.91
Os  0.2492  0.2500  0.5995 [2 per cell]  6 Os 2.62-2.91, 5 Mg 2.81-2.83

Calculated values
Spin magnetization ... 0.000 μB per cell
V ... 65.0 Å³/cell
Calculated total energy ... -24.89 eV/cell
D(E_F) ... 2.01 states/eV/cell

***

Entry from Alexandria via LeMat-Bulk: an optimized crystal structure of Li2MgCd (PBE-GGA).

Cell lengths 3.5886, 4.7009, 9.3004 Å; angles 90.00, 90.00, 90.00 degrees
With the nearest neighbours (Å) after each atom.
Space group Immm (No. 71)
Asymmetric unit:
Li  0.0000  0.0000  0.2431 [4 per cell]  2 Cd 2.89, 4 Li 2.96, 2 Mg 2.99
Mg  0.0000  0.5000  0.0000 [2 per cell]  4 Cd 2.96, 8 Li 2.99-3.26
Cd  0.0000  0.5000  0.5000 [2 per cell]  4 Li 2.89, 4 Mg 2.96

Calculated values
Spin magnetization ... 0.000 μB per cell
V ... 156.9 Å³/cell
Calculated total energy ... -13.88 eV/cell
D(E_F) ... 3.16 states/eV/cell
Polymorph energy (0 for the lowest one) ... 0.026 eV/atom

***

Entry from Alexandria via LeMat-Bulk: an optimized crystal structure of CaYTh (PBE-GGA).

Cell lengths 3.6100, 5.8197, 10.1530 Å; angles 90.00, 90.00, 90.00 degrees
With the nearest neighbours (Å) after each atom.
Space group Pmmn (No. 59, origin choice 2)
Asymmetric unit:
Ca  0.2500  0.2500  0.1051 [2 per cell]  6 Ca 3.61-4.03, 5 Y 3.72-3.77, 2 Th 3.95
Y  0.2500  0.2500  0.7389 [2 per cell]  4 Th 3.44-3.49, 2 Y 3.61, 5 Ca 3.72-3.77
Th  0.2500  0.7500  0.5492 [2 per cell]  4 Y 3.44-3.49, 6 Th 3.57-3.61

Calculated values
Spin magnetization ... 0.000 μB per cell
V ... 213.3 Å³/cell
Calculated total energy ... -31.20 eV/cell
D(E_F) ... 8.47 states/eV/cell
Polymorph energy (0 for the lowest one) ... 0.000 eV/atom

***

Entry from Alexandria via LeMat-Bulk: an optimized crystal structure of Tl5Hg2H4 (PBE-GGA).

Cell lengths 15.8877, 3.7643, 9.1019 Å; angles 90.00, 115.65, 90.00 degrees
With the nearest neighbours (Å) after each atom.
Space group C2/m (No. 12)
Asymmetric unit:
Tl  0.0000  0.0000  0.0000 [2 per cell]  2 Hg 3.16, 4 Tl 3.23
Tl  0.1616  0.5000  0.9860 [4 per cell]  1 H 1.98
Tl  0.2339  0.5000  0.6584 [4 per cell]  1 H 2.16
Hg  0.0441  0.0000  0.3737 [4 per cell]  2 H 1.89
H  0.0520  0.5000  0.3828 [4 per cell]  2 Hg 1.89
H  0.1294  0.5000  0.7501 [4 per cell]  2 Tl 1.98-2.16

Calculated values
Spin magnetization ... 0.000 μB per cell
V ... 490.7 Å³/cell
Calculated total energy ... -45.06 eV/cell
D(E_F) ... 8.46 states/eV/cell

***

What is the D(E_F) in the eighth record?
13.75 states/eV/cell

***

Number 7 is which compound?
AlSi2Ni